P | ## KVGa2 (PBE)

Data for an optimized crystal structure of KVGa2.

Summary:
- Total moment: 3.0 μB per formula unit
- SG: Fm-3m, No. 225

Cell lengths 4.9677, 4.9677, 4.9677 Å; angles 60.00, 60.00, 60.00 degrees
Fractional positions:
1 K 0.0000 0.0000 0.0000
2 V 0.5000 0.5000 0.5000
3 Ga 0.7500 0.7500 0.7500
4 Ga 0.2500 0.2500 0.2500


Q | ## KVGa2 (PBE)

Data for an optimized crystal structure of KVGa2.

Summary:
- Total moment: 3.4 μB per formula unit
- SG: I4_1/amd, No. 141

Cell lengths 5.4018, 5.4018, 9.5260 Å; angles 73.53, 73.53, 90.00 degrees
Fractional positions:
1 K 0.5000 0.5000 0.0000
2 K 0.2500 0.7500 0.5000
3 V 0.0000 0.0000 0.0000
4 V 0.7500 0.2500 0.5000
5 Ga 0.8746 0.6250 0.2500
6 Ga 0.8754 0.1250 0.2500
7 Ga 0.3750 0.1246 0.7500
8 Ga 0.8750 0.1254 0.7500


Q: Which of them is the least stable? A: P.


P | ## KGa3W (PBE)

Data for an optimized crystal structure of KGa3W.

Summary:
- Total moment: 0.0 μB per formula unit
- SG: Pm-3m, No. 221

Cell lengths 5.0172, 5.0172, 5.0172 Å; angles 90.00, 90.00, 90.00 degrees
Fractional positions:
1 Ga 0.5000 0.0000 0.0000
2 Ga 0.0000 0.5000 0.0000
3 Ga 0.0000 0.0000 0.5000
4 W 0.0000 0.0000 0.0000
5 K 0.5000 0.5000 0.5000


Q | ## KGa3W (PBE)

Data for an optimized crystal structure of KGa3W.

Summary:
- Total moment: 0.0 μB per formula unit
- SG: Pm-3m, No. 221

Cell lengths 5.0996, 5.0996, 5.0996 Å; angles 90.00, 90.00, 90.00 degrees
Fractional positions:
1 Ga 0.0000 0.0000 0.5000
2 Ga 0.5000 0.0000 0.0000
3 Ga 0.0000 0.5000 0.0000
4 K 0.0000 0.0000 0.0000
5 W 0.5000 0.5000 0.5000


Q: Which of them is the least stable? A: Q.


P | ## KGa2W (PBE)

Data for an optimized crystal structure of KGa2W.

Summary:
- Total moment: 2.2 μB per formula unit
- SG: Fm-3m, No. 225

Cell lengths 4.8734, 4.8734, 4.8734 Å; angles 60.00, 60.00, 60.00 degrees
Fractional positions:
1 W 0.5000 0.5000 0.5000
2 K 0.0000 0.0000 0.0000
3 Ga 0.2500 0.2500 0.2500
4 Ga 0.7500 0.7500 0.7500


Q | ## KGa2W (PBE)

Data for an optimized crystal structure of KGa2W.

Summary:
- Total moment: 2.4 μB per formula unit
- SG: I4_1/amd, No. 141

Cell lengths 5.5429, 5.5429, 9.3833 Å; angles 72.82, 72.82, 90.00 degrees
Fractional positions:
1 W 0.0000 0.0000 0.0000
2 W 0.7500 0.2500 0.5000
3 Ga 0.3750 0.1243 0.7500
4 Ga 0.8743 0.6250 0.2500
5 Ga 0.8750 0.1257 0.7500
6 Ga 0.8757 0.1250 0.2500
7 K 0.2500 0.7500 0.5000
8 K 0.5000 0.5000 0.0000


Q: Which of them is the least stable? A: P.


P | ## KYGa3 (PBE)

Data for an optimized crystal structure of KYGa3.

Summary:
- Total moment: 0.0 μB per formula unit
- SG: Pm-3m, No. 221

Cell lengths 5.3148, 5.3148, 5.3148 Å; angles 90.00, 90.00, 90.00 degrees
Fractional positions:
1 Ga 0.5000 0.0000 0.0000
2 Ga 0.0000 0.5000 0.0000
3 Ga 0.0000 0.0000 0.5000
4 K 0.0000 0.0000 0.0000
5 Y 0.5000 0.5000 0.5000


Q | ## KYGa3 (PBE)

Data for an optimized crystal structure of KYGa3.

Summary:
- Total moment: 0.4 μB per formula unit
- SG: Pm-3m, No. 221

Cell lengths 5.6559, 5.6559, 5.6559 Å; angles 90.00, 90.00, 90.00 degrees
Fractional positions:
1 Ga 0.5000 0.0000 0.0000
2 Ga 0.0000 0.5000 0.0000
3 Ga 0.0000 0.0000 0.5000
4 Y 0.0000 0.0000 0.0000
5 K 0.5000 0.5000 0.5000


Q: Which of them is the least stable? A: P.


P | ## K2YGa2 (PBE)

Data for an optimized crystal structure of K2YGa2.

Summary:
- Total moment: 0.0 μB per formula unit
- SG: I4/mmm, No. 139

Cell lengths 5.7269, 5.7269, 6.4801 Å; angles 63.78, 63.78, 90.00 degrees
Fractional positions:
1 K 0.3625 0.3625 0.2750
2 K 0.6375 0.6375 0.7250
3 Y 0.0000 0.0000 0.0000
4 Ga 0.2500 0.7500 0.5000
5 Ga 0.7500 0.2500 0.5000


Q | ## K2YGa2 (PBE)

Data for an optimized crystal structure of K2YGa2.

Summary:
- Total moment: 0.1 μB per formula unit
- SG: P4/mbm, No. 127

Cell lengths 9.4724, 9.4724, 3.3966 Å; angles 90.00, 90.00, 90.00 degrees
Fractional positions:
1 K 0.8772 0.6228 0.0000
2 K 0.1228 0.3772 0.0000
3 K 0.6228 0.1228 0.0000
4 K 0.3772 0.8772 0.0000
5 Y 0.5000 0.5000 0.0000
6 Y 0.0000 0.0000 0.0000
7 Ga 0.1792 0.6792 0.5000
8 Ga 0.8208 0.3208 0.5000
9 Ga 0.3208 0.1792 0.5000
10 Ga 0.6792 0.8208 0.5000


Q: Which of them is the least stable? A: P.


P | ## KY3Ga (PBE)

Data for an optimized crystal structure of KY3Ga.

Summary:
- Total moment: 0.0 μB per formula unit
- SG: Pm-3m, No. 221

Cell lengths 5.3924, 5.3924, 5.3924 Å; angles 90.00, 90.00, 90.00 degrees
Fractional positions:
1 K 0.0000 0.0000 0.0000
2 Y 0.0000 0.0000 0.5000
3 Y 0.0000 0.5000 0.0000
4 Y 0.5000 0.0000 0.0000
5 Ga 0.5000 0.5000 0.5000


Q | ## KY3Ga (PBE)

Data for an optimized crystal structure of KY3Ga.

Summary:
- Total moment: 1.2 μB per formula unit
- SG: Pm-3m, No. 221

Cell lengths 5.6959, 5.6959, 5.6959 Å; angles 90.00, 90.00, 90.00 degrees
Fractional positions:
1 Y 0.0000 0.5000 0.0000
2 Y 0.5000 0.0000 0.0000
3 Y 0.0000 0.0000 0.5000
4 Ga 0.0000 0.0000 0.0000
5 K 0.5000 0.5000 0.5000


Q: Which of them is the least stable? A: P.


P | ## KZnGa3 (PBE)

Data for an optimized crystal structure of KZnGa3.

Summary:
- Total moment: 0.0 μB per formula unit
- SG: Cm, No. 8

Cell lengths 4.4736, 4.4737, 6.4243 Å; angles 69.70, 69.69, 90.38 degrees
Fractional positions:
1 Zn 0.0198 0.8234 0.6662
2 K 0.4024 0.2060 0.9005
3 Ga 0.6516 0.9534 0.4041
4 Ga 0.1499 0.4547 0.4041
5 Ga 0.7841 0.5878 0.1362


Q | ## KZnGa3 (PBE)

Data for an optimized crystal structure of KZnGa3.

Summary:
- Total moment: 0.0 μB per formula unit
- SG: Pm-3m, No. 221

Cell lengths 5.9296, 5.9296, 5.9296 Å; angles 90.00, 90.00, 90.00 degrees
Fractional positions:
1 Ga 0.5000 0.0000 0.0000
2 Ga 0.0000 0.5000 0.0000
3 Ga 0.0000 0.0000 0.5000
4 Zn 0.5000 0.5000 0.5000
5 K 0.0000 0.0000 0.0000


R | ## KZnGa3 (PBE)

Data for an optimized crystal structure of KZnGa3.

Summary:
- Total moment: 0.0 μB per formula unit
- SG: Pm-3m, No. 221

Cell lengths 5.0798, 5.0798, 5.0798 Å; angles 90.00, 90.00, 90.00 degrees
Fractional positions:
1 K 0.5000 0.5000 0.5000
2 Ga 0.0000 0.0000 0.5000
3 Ga 0.5000 0.0000 0.0000
4 Ga 0.0000 0.5000 0.0000
5 Zn 0.0000 0.0000 0.0000


Q: Which of them is the least stable? A: Q.


P | ## K2ZnGa (PBE)

Data for an optimized crystal structure of K2ZnGa.

Summary:
- Total moment: 0.8 μB per formula unit
- SG: Fm-3m, No. 225

Cell lengths 5.8447, 5.8447, 5.8447 Å; angles 60.00, 60.00, 60.00 degrees
Fractional positions:
1 Ga 0.5000 0.5000 0.5000
2 K 0.2500 0.2500 0.2500
3 K 0.7500 0.7500 0.7500
4 Zn 0.0000 0.0000 0.0000


Q | ## K2ZnGa (PBE)

Data for an optimized crystal structure of K2ZnGa.

Summary:
- Total moment: 0.0 μB per formula unit
- SG: Cmcm, No. 63

Cell lengths 6.5291, 6.6180, 6.6180 Å; angles 106.86, 90.00, 90.00 degrees
Fractional positions:
1 Zn 0.0000 0.5000 0.5000
2 Zn 0.5000 0.5000 0.5000
3 Ga 0.2500 0.7415 0.7415
4 Ga 0.7500 0.2585 0.2585
5 K 0.2500 0.3214 0.9800
6 K 0.7500 0.0200 0.6786
7 K 0.2500 0.9800 0.3214
8 K 0.7500 0.6786 0.0200


R | ## K2ZnGa (PBE)

Data for an optimized crystal structure of K2ZnGa.

Summary:
- Total moment: 0.0 μB per formula unit
- SG: I-42d, No. 122

Cell lengths 9.4734, 9.4734, 7.4013 Å; angles 50.21, 50.21, 90.00 degrees
Fractional positions:
1 Zn 0.5000 0.5000 0.0000
2 Zn 0.2500 0.7500 0.5000
3 K 0.8750 0.8609 0.7500
4 K 0.1391 0.6250 0.2500
5 K 0.6109 0.1250 0.2500
6 K 0.3750 0.3891 0.7500
7 Ga 0.0000 0.0000 0.0000
8 Ga 0.7500 0.2500 0.5000


Q: Which of them is the least stable? A: R.